No. 1
Compound: CeGdFeTc
Source: Alexandria
Functional: PBE-GGA
Structure: relaxed

The space group is F-43m (No. 216) and the conventional cell measures 6.8531, 6.8531 and 6.8531 Å, with angles of 90.00, 90.00 and 90.00 degrees. The asymmetric unit holds Ce at (0.0000, 0.0000, 0.0000), Gd at (0.0000, 0.0000, 0.5000), Fe at (0.2500, 0.2500, 0.7500) and Tc at (0.2500, 0.2500, 0.2500).

No. 2
Compound: CeGdZnFe
Source: Alexandria
Functional: PBE-GGA
Structure: relaxed

The space group is F-43m (No. 216) and the conventional cell measures 6.9782, 6.9782 and 6.9782 Å, with angles of 90.00, 90.00 and 90.00 degrees. The asymmetric unit holds Ce at (0.0000, 0.0000, 0.0000), Gd at (0.0000, 0.0000, 0.5000), Zn at (0.2500, 0.2500, 0.7500) and Fe at (0.2500, 0.2500, 0.2500).

No. 3
Compound: CeFe4Ge
Source: Alexandria
Functional: PBE-GGA
Structure: relaxed

The space group is F-43m (No. 216) and the conventional cell measures 7.0390, 7.0390 and 7.0390 Å, with angles of 90.00, 90.00 and 90.00 degrees. The asymmetric unit holds Ce at (0.0000, 0.0000, 0.0000), Fe at (0.1243, 0.1243, 0.6243) and Ge at (0.2500, 0.2500, 0.2500).

no.,energy of formation (meV/atom),ρ (g cm⁻³)
1,126.3,9.31
2,-6.7,8.18
3,-15.3,8.31